# B2C, relaxed, DFT GGA-PBE
# Formation energy from the elements   0.370 eV/atom
# E   -85.87 eV/cell
# Energy above the lowest structure with this stoichiometry   185 meV/atom
data_B2C
_space_group_name_H-M_alt 'P 1'
_space_group_IT_number 1
_cell_length_a 4.065
_cell_length_b 4.115
_cell_length_c 5.384
_cell_angle_alpha 90.62
_cell_angle_beta 94.73
_cell_angle_gamma 95.26
loop_
_space_group_symop_operation_xyz
'x,y,z'
loop_
_atom_site_label
_atom_site_type_symbol
_atom_site_fract_x
_atom_site_fract_y
_atom_site_fract_z
B1 B 0.000 0.000 0.000
B2 B 0.060 0.626 0.628
B3 B 0.163 0.169 0.350
B4 B 0.245 0.350 0.966
B5 B 0.510 0.428 0.252
B6 B 0.582 0.161 0.666
B7 B 0.688 0.343 0.956
B8 B 0.758 0.077 0.232
C1 C 0.330 0.879 0.524
C2 C 0.525 0.789 0.328
C3 C 0.831 0.334 0.480
C4 C 0.985 0.628 0.909